# GGA-PBE LuCoCuAs, optimized geometry
# * mass density: 10.24 g/cm3
# * total magnetic moment: 0.000 μB/atom
# * energy above the most stable polymorph in this dataset: 0.03 eV per formula unit
data_LuCoCuAs
_cell_length_a 6.227
_cell_length_b 6.227
_cell_length_c 6.227
_cell_angle_alpha 90.00
_cell_angle_beta 90.00
_cell_angle_gamma 90.00
_symmetry_space_group_name_H-M 'F -4 3 m'
_symmetry_Int_Tables_number 216
_symmetry_space_group_name_Hall 'F -4 2 3'
loop_
_atom_site_label
_atom_site_fract_x
_atom_site_fract_y
_atom_site_fract_z
Lu1 0.000 0.000 0.000
Co1 0.250 0.250 0.250
Cu1 0.250 0.250 0.750
As1 0.000 0.000 0.500


# GGA-PBE LuCoCuAs, optimized geometry
# * mass density: 9.53 g/cm3
# * total magnetic moment: 0.246 μB/atom
# * energy above the most stable polymorph in this dataset: 0.67 eV per formula unit
data_LuCoCuAs
_cell_length_a 6.378
_cell_length_b 6.378
_cell_length_c 6.378
_cell_angle_alpha 90.00
_cell_angle_beta 90.00
_cell_angle_gamma 90.00
_symmetry_space_group_name_H-M 'F -4 3 m'
_symmetry_Int_Tables_number 216
_symmetry_space_group_name_Hall 'F -4 2 3'
loop_
_atom_site_label
_atom_site_fract_x
_atom_site_fract_y
_atom_site_fract_z
Lu1 0.000 0.000 0.000
Co1 0.250 0.250 0.250
Cu1 0.000 0.000 0.500
As1 0.250 0.250 0.750


# GGA-PBE LuCoCuAs, optimized geometry
# * mass density: 9.93 g/cm3
# * total magnetic moment: 0.001 μB/atom
# * energy above the most stable polymorph in this dataset: 0.00 eV per formula unit
data_LuCoCuAs
_cell_length_a 6.291
_cell_length_b 6.291
_cell_length_c 6.291
_cell_angle_alpha 90.00
_cell_angle_beta 90.00
_cell_angle_gamma 90.00
_symmetry_space_group_name_H-M 'F -4 3 m'
_symmetry_Int_Tables_number 216
_symmetry_space_group_name_Hall 'F -4 2 3'
loop_
_atom_site_label
_atom_site_fract_x
_atom_site_fract_y
_atom_site_fract_z
Lu1 0.000 0.000 0.000
Co1 0.000 0.000 0.500
Cu1 0.250 0.250 0.750
As1 0.250 0.250 0.250


# GGA-PBE MgCoCuAs, optimized geometry
# * mass density: 6.77 g/cm3
# * total magnetic moment: 0.002 μB/atom
# * energy above the most stable polymorph in this dataset: 0.00 eV per formula unit
data_MgCoCuAs
_cell_length_a 6.014
_cell_length_b 6.014
_cell_length_c 6.014
_cell_angle_alpha 90.00
_cell_angle_beta 90.00
_cell_angle_gamma 90.00
_symmetry_space_group_name_H-M 'F -4 3 m'
_symmetry_Int_Tables_number 216
_symmetry_space_group_name_Hall 'F -4 2 3'
loop_
_atom_site_label
_atom_site_fract_x
_atom_site_fract_y
_atom_site_fract_z
Mg1 0.000 0.000 0.000
Co1 0.250 0.250 0.750
Cu1 0.250 0.250 0.250
As1 0.000 0.000 0.500


# GGA-PBE CoCuMoAs, optimized geometry
# * mass density: 9.08 g/cm3
# * total magnetic moment: 0.130 μB/atom
# * energy above the most stable polymorph in this dataset: 0.00 eV per formula unit
data_CoCuMoAs
_cell_length_a 5.988
_cell_length_b 5.988
_cell_length_c 5.988
_cell_angle_alpha 90.00
_cell_angle_beta 90.00
_cell_angle_gamma 90.00
_symmetry_space_group_name_H-M 'F -4 3 m'
_symmetry_Int_Tables_number 216
_symmetry_space_group_name_Hall 'F -4 2 3'
loop_
_atom_site_label
_atom_site_fract_x
_atom_site_fract_y
_atom_site_fract_z
Co1 0.000 0.000 0.000
Cu1 0.250 0.250 0.750
Mo1 0.250 0.250 0.250
As1 0.000 0.000 0.500


# GGA-PBE CoCuNiAs, optimized geometry
# * mass density: 8.97 g/cm3
# * total magnetic moment: 0.304 μB/atom
# * energy above the most stable polymorph in this dataset: 0.42 eV per formula unit
data_CoCuNiAs
_cell_length_a 5.745
_cell_length_b 5.745
_cell_length_c 5.745
_cell_angle_alpha 90.00
_cell_angle_beta 90.00
_cell_angle_gamma 90.00
_symmetry_space_group_name_H-M 'F -4 3 m'
_symmetry_Int_Tables_number 216
_symmetry_space_group_name_Hall 'F -4 2 3'
loop_
_atom_site_label
_atom_site_fract_x
_atom_site_fract_y
_atom_site_fract_z
Co1 0.000 0.000 0.000
Cu1 0.000 0.000 0.500
Ni1 0.250 0.250 0.750
As1 0.250 0.250 0.250


# GGA-PBE CoCu4NiAs2, optimized geometry
# * mass density: 8.54 g/cm3
# * E: -4.401 eV per atom
# * total magnetic moment: 0.000 μB/atom
data_CoCu4NiAs2
_cell_length_a 4.154
_cell_length_b 4.154
_cell_length_c 5.882
_cell_angle_alpha 90.00
_cell_angle_beta 90.00
_cell_angle_gamma 90.00
_symmetry_space_group_name_H-M 'P 4/m m m'
_symmetry_Int_Tables_number 123
_symmetry_space_group_name_Hall '-P 4 2'
loop_
_atom_site_label
_atom_site_fract_x
_atom_site_fract_y
_atom_site_fract_z
Co1 0.000 0.000 0.000
Cu1 0.000 0.500 0.251
Ni1 0.500 0.500 0.500
As1 0.000 0.000 0.500
As2 0.500 0.500 0.000


# GGA-PBE CoCuNiAs, optimized geometry
# * mass density: 9.09 g/cm3
# * total magnetic moment: 0.284 μB/atom
# * energy above the most stable polymorph in this dataset: 0.00 eV per formula unit
data_CoCuNiAs
_cell_length_a 5.720
_cell_length_b 5.720
_cell_length_c 5.720
_cell_angle_alpha 90.00
_cell_angle_beta 90.00
_cell_angle_gamma 90.00
_symmetry_space_group_name_H-M 'F -4 3 m'
_symmetry_Int_Tables_number 216
_symmetry_space_group_name_Hall 'F -4 2 3'
loop_
_atom_site_label
_atom_site_fract_x
_atom_site_fract_y
_atom_site_fract_z
Co1 0.000 0.000 0.000
Cu1 0.250 0.250 0.750
Ni1 0.000 0.000 0.500
As1 0.250 0.250 0.250


# GGA-PBE CoCuAsPd, optimized geometry
# * mass density: 9.30 g/cm3
# * total magnetic moment: 0.350 μB/atom
# * energy above the most stable polymorph in this dataset: 0.00 eV per formula unit
data_CoCuAsPd
_cell_length_a 6.010
_cell_length_b 6.010
_cell_length_c 6.010
_cell_angle_alpha 90.00
_cell_angle_beta 90.00
_cell_angle_gamma 90.00
_symmetry_space_group_name_H-M 'F -4 3 m'
_symmetry_Int_Tables_number 216
_symmetry_space_group_name_Hall 'F -4 2 3'
loop_
_atom_site_label
_atom_site_fract_x
_atom_site_fract_y
_atom_site_fract_z
Co1 0.000 0.000 0.000
Cu1 0.000 0.000 0.500
As1 0.250 0.250 0.750
Pd1 0.250 0.250 0.250


# GGA-PBE CoCuReAs, optimized geometry
# * mass density: 12.40 g/cm3
# * total magnetic moment: 0.045 μB/atom
# * energy above the most stable polymorph in this dataset: 0.00 eV per formula unit
data_CoCuReAs
_cell_length_a 5.902
_cell_length_b 5.902
_cell_length_c 5.902
_cell_angle_alpha 90.00
_cell_angle_beta 90.00
_cell_angle_gamma 90.00
_symmetry_space_group_name_H-M 'F -4 3 m'
_symmetry_Int_Tables_number 216
_symmetry_space_group_name_Hall 'F -4 2 3'
loop_
_atom_site_label
_atom_site_fract_x
_atom_site_fract_y
_atom_site_fract_z
Co1 0.000 0.000 0.000
Cu1 0.250 0.250 0.250
Re1 0.000 0.000 0.500
As1 0.250 0.250 0.750


# GGA-PBE CoCuReAs, optimized geometry
# * mass density: 12.08 g/cm3
# * total magnetic moment: 0.174 μB/atom
# * energy above the most stable polymorph in this dataset: 0.14 eV per formula unit
data_CoCuReAs
_cell_length_a 5.952
_cell_length_b 5.952
_cell_length_c 5.952
_cell_angle_alpha 90.00
_cell_angle_beta 90.00
_cell_angle_gamma 90.00
_symmetry_space_group_name_H-M 'F -4 3 m'
_symmetry_Int_Tables_number 216
_symmetry_space_group_name_Hall 'F -4 2 3'
loop_
_atom_site_label
_atom_site_fract_x
_atom_site_fract_y
_atom_site_fract_z
Co1 0.000 0.000 0.000
Cu1 0.250 0.250 0.250
Re1 0.250 0.250 0.750
As1 0.000 0.000 0.500


# GGA-PBE ScCoCuAs, optimized geometry
# * mass density: 7.06 g/cm3
# * total magnetic moment: 0.023 μB/atom
# * energy above the most stable polymorph in this dataset: 0.00 eV per formula unit
data_ScCoCuAs
_cell_length_a 6.110
_cell_length_b 6.110
_cell_length_c 6.110
_cell_angle_alpha 90.00
_cell_angle_beta 90.00
_cell_angle_gamma 90.00
_symmetry_space_group_name_H-M 'F -4 3 m'
_symmetry_Int_Tables_number 216
_symmetry_space_group_name_Hall 'F -4 2 3'
loop_
_atom_site_label
_atom_site_fract_x
_atom_site_fract_y
_atom_site_fract_z
Sc1 0.000 0.000 0.000
Co1 0.000 0.000 0.500
Cu1 0.250 0.250 0.750
As1 0.250 0.250 0.250


# GGA-PBE ScCoCuAs, optimized geometry
# * mass density: 7.25 g/cm3
# * total magnetic moment: 0.000 μB/atom
# * energy above the most stable polymorph in this dataset: 0.05 eV per formula unit
data_ScCoCuAs
_cell_length_a 6.055
_cell_length_b 6.055
_cell_length_c 6.055
_cell_angle_alpha 90.00
_cell_angle_beta 90.00
_cell_angle_gamma 90.00
_symmetry_space_group_name_H-M 'F -4 3 m'
_symmetry_Int_Tables_number 216
_symmetry_space_group_name_Hall 'F -4 2 3'
loop_
_atom_site_label
_atom_site_fract_x
_atom_site_fract_y
_atom_site_fract_z
Sc1 0.000 0.000 0.000
Co1 0.250 0.250 0.750
Cu1 0.250 0.250 0.250
As1 0.000 0.000 0.500


# GGA-PBE ScCoCuAs, optimized geometry
# * mass density: 6.82 g/cm3
# * total magnetic moment: 0.198 μB/atom
# * energy above the most stable polymorph in this dataset: 0.66 eV per formula unit
data_ScCoCuAs
_cell_length_a 6.180
_cell_length_b 6.180
_cell_length_c 6.180
_cell_angle_alpha 90.00
_cell_angle_beta 90.00
_cell_angle_gamma 90.00
_symmetry_space_group_name_H-M 'F -4 3 m'
_symmetry_Int_Tables_number 216
_symmetry_space_group_name_Hall 'F -4 2 3'
loop_
_atom_site_label
_atom_site_fract_x
_atom_site_fract_y
_atom_site_fract_z
Sc1 0.000 0.000 0.000
Co1 0.250 0.250 0.250
Cu1 0.000 0.000 0.500
As1 0.250 0.250 0.750


# GGA-PBE CoCuTcAs, optimized geometry
# * mass density: 9.38 g/cm3
# * total magnetic moment: 0.308 μB/atom
# * energy above the most stable polymorph in this dataset: 0.00 eV per formula unit
data_CoCuTcAs
_cell_length_a 5.936
_cell_length_b 5.936
_cell_length_c 5.936
_cell_angle_alpha 90.00
_cell_angle_beta 90.00
_cell_angle_gamma 90.00
_symmetry_space_group_name_H-M 'F -4 3 m'
_symmetry_Int_Tables_number 216
_symmetry_space_group_name_Hall 'F -4 2 3'
loop_
_atom_site_label
_atom_site_fract_x
_atom_site_fract_y
_atom_site_fract_z
Co1 0.000 0.000 0.000
Cu1 0.250 0.250 0.750
Tc1 0.250 0.250 0.250
As1 0.000 0.000 0.500


# GGA-PBE TlCoCuAs, optimized geometry
# * mass density: 10.24 g/cm3
# * total magnetic moment: 0.303 μB/atom
# * energy above the most stable polymorph in this dataset: 0.00 eV per formula unit
data_TlCoCuAs
_cell_length_a 6.387
_cell_length_b 6.387
_cell_length_c 6.387
_cell_angle_alpha 90.00
_cell_angle_beta 90.00
_cell_angle_gamma 90.00
_symmetry_space_group_name_H-M 'F -4 3 m'
_symmetry_Int_Tables_number 216
_symmetry_space_group_name_Hall 'F -4 2 3'
loop_
_atom_site_label
_atom_site_fract_x
_atom_site_fract_y
_atom_site_fract_z
Tl1 0.000 0.000 0.000
Co1 0.250 0.250 0.250
Cu1 0.250 0.250 0.750
As1 0.000 0.000 0.500


# GGA-PBE YCoCuAs, optimized geometry
# * mass density: 6.95 g/cm3
# * total magnetic moment: 0.293 μB/atom
# * energy above the most stable polymorph in this dataset: 0.63 eV per formula unit
data_YCoCuAs
_cell_length_a 6.492
_cell_length_b 6.492
_cell_length_c 6.492
_cell_angle_alpha 90.00
_cell_angle_beta 90.00
_cell_angle_gamma 90.00
_symmetry_space_group_name_H-M 'F -4 3 m'
_symmetry_Int_Tables_number 216
_symmetry_space_group_name_Hall 'F -4 2 3'
loop_
_atom_site_label
_atom_site_fract_x
_atom_site_fract_y
_atom_site_fract_z
Y1 0.000 0.000 0.000
Co1 0.250 0.250 0.750
Cu1 0.000 0.000 0.500
As1 0.250 0.250 0.250


# GGA-PBE YCoCuAs, optimized geometry
# * mass density: 7.23 g/cm3
# * total magnetic moment: 0.005 μB/atom
# * energy above the most stable polymorph in this dataset: 0.00 eV per formula unit
data_YCoCuAs
_cell_length_a 6.408
_cell_length_b 6.408
_cell_length_c 6.408
_cell_angle_alpha 90.00
_cell_angle_beta 90.00
_cell_angle_gamma 90.00
_symmetry_space_group_name_H-M 'F -4 3 m'
_symmetry_Int_Tables_number 216
_symmetry_space_group_name_Hall 'F -4 2 3'
loop_
_atom_site_label
_atom_site_fract_x
_atom_site_fract_y
_atom_site_fract_z
Y1 0.000 0.000 0.000
Co1 0.000 0.000 0.500
Cu1 0.250 0.250 0.750
As1 0.250 0.250 0.250


# GGA-PBE YCoCuAs, optimized geometry
# * mass density: 7.53 g/cm3
# * total magnetic moment: 0.003 μB/atom
# * energy above the most stable polymorph in this dataset: 0.06 eV per formula unit
data_YCoCuAs
_cell_length_a 6.321
_cell_length_b 6.321
_cell_length_c 6.321
_cell_angle_alpha 90.00
_cell_angle_beta 90.00
_cell_angle_gamma 90.00
_symmetry_space_group_name_H-M 'F -4 3 m'
_symmetry_Int_Tables_number 216
_symmetry_space_group_name_Hall 'F -4 2 3'
loop_
_atom_site_label
_atom_site_fract_x
_atom_site_fract_y
_atom_site_fract_z
Y1 0.000 0.000 0.000
Co1 0.250 0.250 0.750
Cu1 0.250 0.250 0.250
As1 0.000 0.000 0.500


# GGA-PBE Zr4CoCuAs2, optimized geometry
# * mass density: 7.35 g/cm3
# * E: -7.539 eV per atom
# * total magnetic moment: 0.000 μB/atom
data_Zr4CoCuAs2
_cell_length_a 5.364
_cell_length_b 3.750
_cell_length_c 7.628
_cell_angle_alpha 90.00
_cell_angle_beta 110.29
_cell_angle_gamma 90.00
_symmetry_space_group_name_H-M 'P 1 m 1'
_symmetry_Int_Tables_number 6
loop_
_symmetry_equiv_pos_as_xyz
'x,y,z'
'x,-y,z'
loop_
_atom_site_label
_atom_site_fract_x
_atom_site_fract_y
_atom_site_fract_z
Zr1 0.000 0.000 0.000
Zr2 0.056 0.500 0.630
Zr3 0.471 0.000 0.472
Zr4 0.544 0.500 0.134
Co1 0.133 0.500 0.258
Cu1 0.406 0.000 0.850
As1 0.634 0.500 0.766
As2 0.905 0.000 0.348